V5SnP6O24 after structural relaxation. Source: the Alexandria database, functional PBE+U.

Cell: 8.6333 8.6333 8.6333 Å, 60.34 60.34 60.34°
With the nearest neighbours (Å) after each atom.
Atoms (fractional coordinates):
V (0.0000, 0.0000, 0.0000)  6 O 1.97-2.08
V (0.1411, 0.1411, 0.1411)  6 O 2.16-2.23
V (0.5005, 0.5005, 0.5005)  6 O 1.97-2.08
V (0.6438, 0.6438, 0.6438)  6 O 2.19-2.20
V (0.7872, 0.7872, 0.7872)  6 O 1.97-2.07
Sn (0.2879, 0.2879, 0.2879)  6 O 2.01-2.11
P (0.0960, 0.3953, 0.6908)  4 O 1.51-1.56
P (0.1881, 0.8906, 0.6024)  4 O 1.52-1.59
P (0.3953, 0.6908, 0.0960)  4 O 1.51-1.56
P (0.6024, 0.1881, 0.8906)  4 O 1.52-1.59
P (0.6908, 0.0960, 0.3953)  4 O 1.51-1.56
P (0.8906, 0.6024, 0.1881)  4 O 1.52-1.59
O (0.0347, 0.8242, 0.6427)  1 P 1.52
O (0.0529, 0.4019, 0.2000)  1 P 1.59
O (0.0822, 0.2347, 0.8867)  1 P 1.56
O (0.1270, 0.3281, 0.5391)  1 P 1.54
O (0.1486, 0.9589, 0.7542)  1 P 1.52
O (0.2000, 0.0529, 0.4019)  1 P 1.59
O (0.2347, 0.8867, 0.0822)  1 P 1.56
O (0.2541, 0.4597, 0.6409)  1 P 1.51
O (0.3281, 0.5391, 0.1270)  1 P 1.54
O (0.3887, 0.7364, 0.5791)  1 P 1.57
O (0.4019, 0.2000, 0.0529)  1 P 1.59
O (0.4597, 0.6409, 0.2541)  1 P 1.51
O (0.5391, 0.1270, 0.3281)  1 P 1.54
O (0.5523, 0.7084, 0.8978)  1 P 1.56
O (0.5791, 0.3887, 0.7364)  1 P 1.57
O (0.6409, 0.2541, 0.4597)  1 P 1.51
O (0.6427, 0.0347, 0.8242)  1 P 1.52
O (0.7084, 0.8978, 0.5523)  1 P 1.56
O (0.7364, 0.5791, 0.3887)  1 P 1.57
O (0.7542, 0.1486, 0.9589)  1 P 1.52
O (0.8242, 0.6427, 0.0347)  1 P 1.52
O (0.8867, 0.0822, 0.2347)  1 P 1.56
O (0.8978, 0.5523, 0.7084)  1 P 1.56
O (0.9589, 0.7542, 0.1486)  1 P 1.52

Space group ... R3, No. 146
M_tot ... 11.0 μB per cell
Final energy ... -268.96 eV per cell
Mass density ... 3.42 g/cm³